Entry from Alexandria via LeMat-Bulk: LaTbDyPu after structural relaxation (PBE-GGA).

The theoretical density is 9.1 g cm⁻³. As for the energy of formation from the pure elements: 0.206 eV per atom. The calculation puts the total energy at -6.92 eV/atom. The calculation puts the spin magnetization at 30.16 μB/cell. As for the density of states at the Fermi level: 50.15 states/eV/cell.

The structure belongs to space group F-43m (No. 216); the cell edges are 8.004, 8.004 and 8.004 Å and the angles 90.00°, 90.00° and 90.00°. The asymmetric unit holds La at (0.000, 0.000, 0.000), Tb at (0.000, 0.000, 0.500), Dy at (0.250, 0.250, 0.250) and Pu at (0.250, 0.250, 0.750).